Entry 1:
TlSb3Pt: relaxed, PBEsol.

Results
symmetry = Pm-3m
energy above the most stable polymorph in this dataset = 0 meV/atom
raw formation energy = 1.64 eV per formula unit
final energy = -4.3241 eV per atom
total moment = 0.000 μB per atom

Structure (extended XYZ):
```
5
Lattice="5.278 0.000 0.000 0.000 5.278 0.000 0.000 0.000 5.278" Properties=species:S:1:pos:R:3 pbc="T T T"
Tl 0.000 0.000 0.000
Sb 0.000 2.639 2.639
Sb 2.639 0.000 2.639
Sb 2.639 2.639 0.000
Pt 2.639 2.639 2.639
```

---

Entry 2:
MnRh2W: relaxed, PBEsol.

Results
symmetry = Pmm2
energy above the most stable polymorph in this dataset = 59 meV/atom
energy of formation from the pure elements = -103 meV per atom
final energy = -10.0646 eV per atom
total moment = 0.000 μB per atom

Structure (extended XYZ):
```
4
Lattice="2.677 0.000 0.000 0.000 4.247 0.000 0.000 0.000 4.667" Properties=species:S:1:pos:R:3 pbc="T T T"
Mn 0.000 0.000 0.000
Rh 1.338 0.000 2.361
Rh 1.338 2.123 3.960
W 0.000 2.123 1.535
```

---

Entry 3:
Nb3HRu: relaxed, PBEsol.

Results
symmetry = Pm-3m
final energy = -9.1459 eV per atom
total moment = 0.000 μB per atom

Structure (extended XYZ):
```
5
Lattice="4.105 0.000 0.000 0.000 4.105 0.000 0.000 0.000 4.105" Properties=species:S:1:pos:R:3 pbc="T T T"
Nb 0.000 0.000 2.052
Nb 0.000 2.052 0.000
Nb 2.052 0.000 0.000
H 0.000 0.000 0.000
Ru 2.052 2.052 2.052
```

---

Entry 4:
GaBRhS2: relaxed, PBEsol.

Results
symmetry = P4/mmm
raw formation energy = 2.20 eV per formula unit
final energy = -5.0117 eV per atom
total moment = 0.000 μB per atom

Structure (extended XYZ):
```
5
Lattice="4.748 0.000 0.000 0.000 4.748 0.000 0.000 0.000 3.855" Properties=species:S:1:pos:R:3 pbc="T T T"
Ga 0.000 0.000 0.000
B 2.374 2.374 0.000
Rh 2.374 2.374 1.928
S 0.000 2.374 1.928
S 2.374 0.000 1.928
```

---

Entry 5:
LaYSi2: relaxed, PBEsol.

Results
symmetry = Amm2
energy above the most stable polymorph in this dataset = 0 meV/atom
raw formation energy = -3.27 eV per formula unit
final energy = -6.7330 eV per atom
total moment = 0.000 μB per atom

Structure (extended XYZ):
```
8
Lattice="3.873 0.000 0.000 0.000 4.390 0.000 0.000 0.000 10.839" Properties=species:S:1:pos:R:3 pbc="T T T"
La 0.000 0.000 0.000
La 0.000 2.195 5.420
Y 1.936 0.000 7.806
Y 1.936 2.195 2.387
Si 0.000 0.000 3.062
Si 0.000 2.195 8.482
Si 1.936 0.000 4.615
Si 1.936 2.195 10.035
```

---

Entry 6:
LiCuRh2: relaxed, PBEsol.

Results
symmetry = Cm
energy of formation from the pure elements = -7 meV per atom
final energy = -5.6514 eV per atom
total moment = 0.000 μB per atom

Structure (extended XYZ):
```
8
Lattice="8.777 0.000 0.000 0.000 2.652 0.000 -0.812 0.000 4.362" Properties=species:S:1:pos:R:3 pbc="T T T"
Li 0.000 0.000 0.000
Li 4.389 1.326 0.000
Cu 2.065 1.326 0.835
Cu 6.453 0.000 0.835
Rh 1.556 0.000 2.992
Rh 3.936 0.000 2.182
Rh 5.945 1.326 2.992
Rh 8.325 1.326 2.182
```

---

Entry 7:
Li2AlHg: relaxed, PBEsol.

Results
symmetry = P4/mmm
energy of formation from the pure elements = -250 meV per atom
final energy = -2.3982 eV per atom
total moment = 0.000 μB per atom

Structure (extended XYZ):
```
4
Lattice="3.306 0.000 0.000 0.000 3.306 0.000 0.000 0.000 5.896" Properties=species:S:1:pos:R:3 pbc="T T T"
Li 0.000 0.000 1.472
Li 0.000 0.000 4.424
Al 1.653 1.653 0.000
Hg 1.653 1.653 2.948
```

---

Entry 8:
La7Zn: relaxed, PBEsol.

Results
symmetry = Fm-3m
energy of formation from the pure elements = -29 meV per atom
final energy = -4.9048 eV per atom
total moment = 0.000 μB per atom

Structure (extended XYZ):
```
8
Lattice="0.000 4.971 4.971 4.971 0.000 4.971 4.971 4.971 0.000" Properties=species:S:1:pos:R:3 pbc="T T T"
La 0.000 0.000 0.000
La 2.485 2.485 0.000
La 2.485 0.000 2.485
La 4.971 2.485 2.485
La 0.000 2.485 2.485
La 2.485 4.971 2.485
La 2.485 2.485 4.971
Zn 4.971 4.971 4.971
```

---

Entry 9:
NaScGaI2: relaxed, PBEsol.

Results
symmetry = P4/mmm
raw formation energy = -1.97 eV per formula unit
final energy = -3.3688 eV per atom
total moment = 0.000 μB per atom

Structure (extended XYZ):
```
5
Lattice="5.663 0.000 0.000 0.000 5.663 0.000 0.000 0.000 5.347" Properties=species:S:1:pos:R:3 pbc="T T T"
Na 0.000 0.000 0.000
Sc 2.832 2.832 2.674
Ga 2.832 2.832 0.000
I 0.000 2.832 2.674
I 2.832 0.000 2.674
```

---

Entry 10:
Ba2AgPt: relaxed, PBEsol.

Results
symmetry = R3m
energy of formation from the pure elements = -388 meV per atom
final energy = -4.0308 eV per atom
total moment = 0.000 μB per atom

Structure (extended XYZ):
```
12
Lattice="4.684 0.000 0.000 -2.342 4.057 0.000 0.000 0.000 24.005" Properties=species:S:1:pos:R:3 pbc="T T T"
Ba 0.000 0.000 0.000
Ba 0.000 0.000 3.914
Ba 0.000 2.704 16.003
Ba 0.000 2.704 19.918
Ba 2.342 1.352 8.002
Ba 2.342 1.352 11.916
Ag 0.000 0.000 9.954
Ag 0.000 2.704 1.953
Ag 2.342 1.352 17.956
Pt 0.000 0.000 17.969
Pt 0.000 2.704 9.968
Pt 2.342 1.352 1.966
```

---

Entry 11:
CaMn2Ru: relaxed, PBEsol.

Results
symmetry = Imm2
energy above the most stable polymorph in this dataset = 130 meV/atom
energy of formation from the pure elements = 636 meV per atom
final energy = -7.3205 eV per atom
total moment = 1.474 μB per atom

Structure (extended XYZ):
```
8
Lattice="2.931 0.000 0.000 0.000 4.601 0.000 0.000 0.000 9.366" Properties=species:S:1:pos:R:3 pbc="T T T"
Ca 0.000 0.000 0.000
Ca 1.465 2.300 4.683
Mn 0.000 0.000 5.005
Mn 0.000 2.300 7.321
Mn 1.465 0.000 2.638
Mn 1.465 2.300 0.322
Ru 0.000 2.300 2.233
Ru 1.465 0.000 6.916
```

---

Entry 12:
Y3CBr3: relaxed, PBEsol.

Results
symmetry = R-3
raw formation energy = -9.41 eV per formula unit
final energy = -6.4471 eV per atom
total moment = 0.000 μB per atom

Structure (extended XYZ):
```
14
Lattice="3.229 1.864 9.967 -3.229 1.864 9.967 0.000 -3.728 9.967" Properties=species:S:1:pos:R:3 pbc="T T T"
Y -1.135 -1.967 13.594
Y -2.271 0.000 16.307
Y -1.135 1.967 13.594
Y 1.135 -1.967 16.307
Y 2.271 0.000 13.594
Y 1.135 1.967 16.307
C 0.000 0.000 4.983
C 0.000 0.000 24.918
Br -2.109 0.000 11.709
Br -1.055 -1.827 18.192
Br 1.054 -1.827 11.709
Br -1.054 1.827 18.192
Br 1.055 1.827 11.709
Br 2.109 0.000 18.192
```